(1)
# BIr

A geometry-optimized BIr structure (GGA-PBEsol, the Alexandria database).

abc: 2.7024 3.0212 3.0212
angles: 120.00 90.00 90.00
With the nearest neighbours (Å) after each atom.
Element x y z (fractional)
B: 0.5000 0.0000 0.0000  6 Ir 2.21
Ir: 0.0000 0.3333 0.6667  6 B 2.21

Computed properties:
Energy, eV per atom: -8.640
Energy relative to the elements, meV/atom: -220

=====

(2)
# Sc2MoIr

A geometry-optimized Sc2MoIr structure (GGA-PBEsol, the Alexandria database).

abc: 2.9151 4.5623 5.4352
angles: 96.85 90.00 108.63
With the nearest neighbours (Å) after each atom.
Element x y z (fractional)
Ir: 0.0000 0.0000 0.5000  6 Sc 2.73-2.76, 2 Ir 2.92
Sc: 0.7430 0.4860 0.7448  3 Mo 2.66-2.87, 3 Ir 2.73-2.76, 2 Sc 2.92
Sc: 0.2570 0.5140 0.2552  3 Mo 2.66-2.87, 3 Ir 2.73-2.76, 2 Sc 2.92
Mo: 0.5000 0.0000 0.0000  6 Sc 2.66-2.87, 2 Mo 2.92

Computed properties:
Energy, eV per atom: -8.793
Energy relative to the elements, meV/atom: -92

=====

(3)
# TlCrInPt2

A geometry-optimized TlCrInPt2 structure (GGA-PBEsol, the Alexandria database).

abc: 4.9324 4.9324 5.2832
angles: 90.00 90.00 90.00
With the nearest neighbours (Å) after each atom.
Element x y z (fractional)
Cr: 0.5000 0.5000 0.5000  4 Tl 3.49, 8 Pt 3.61
Pt: 0.0000 0.5000 0.0000  2 In 2.47
Pt: 0.5000 0.0000 0.0000  2 In 2.47
Tl: 0.0000 0.0000 0.5000  2 In 2.64
In: 0.0000 0.0000 0.0000  4 Pt 2.47, 2 Tl 2.64

Computed properties:
Energy, eV per atom: -4.702
Energy relative to the elements, meV/atom: 1255